(1)
## VHBr4 (PBE-GGA)

Data for VHBr4 after structural relaxation.

The calculated total energy is -91.7 eV per cell.

Cell and atoms, written as CIF:
```
data_VHBr4
_chemical_formula_sum 'V4 H4 Br16'
_cell_length_a 6.122
_cell_length_b 18.545
_cell_length_c 6.572
_cell_angle_alpha 90.00
_cell_angle_beta 93.46
_cell_angle_gamma 90.00
_space_group_name_H-M_alt 'C 1 2/c 1'
_space_group_IT_number 15
loop_
_space_group_symop_operation_xyz
'x,y,z'
'-x,-y,-z'
'-x,y,-z+1/2'
'x,-y,z+1/2'
'x+1/2,y+1/2,z'
'-x+1/2,-y+1/2,-z'
'-x+1/2,y+1/2,-z+1/2'
'x+1/2,-y+1/2,z+1/2'
loop_
_atom_site_label
_atom_site_type_symbol
_atom_site_fract_x
_atom_site_fract_y
_atom_site_fract_z
_atom_site_occupancy
V1 V 0.000 0.049 0.250 1
H1 H 0.000 0.357 0.750 1
Br1 Br 0.229 0.046 0.586 1
Br2 Br 0.248 0.150 0.122 1
```

***

(2)
## La2CePr (PBE-GGA)

Data for La2CePr after structural relaxation.

For the energy relative to the elements, the calculation gives 76 kJ/mol of formula units.

Cell and atoms, written as CIF:
```
data_La2CePr
_chemical_formula_sum 'La8 Ce4 Pr4'
_cell_length_a 8.304
_cell_length_b 8.304
_cell_length_c 8.304
_cell_angle_alpha 90.00
_cell_angle_beta 90.00
_cell_angle_gamma 90.00
_space_group_name_H-M_alt 'F m -3 m'
_space_group_IT_number 225
_space_group_name_Hall '-F 4 2 3'
loop_
_atom_site_label
_atom_site_type_symbol
_atom_site_fract_x
_atom_site_fract_y
_atom_site_fract_z
_atom_site_occupancy
La1 La 0.250 0.250 0.250 1
Ce1 Ce 0.000 0.000 0.000 1
Pr1 Pr 0.000 0.000 0.500 1
```

***

(3)
## PuTlRhO6 (PBE-GGA)

Data for PuTlRhO6 after structural relaxation.

The calculation puts the uncorrected formation energy at -1486 meV/atom.

Cell and atoms, written as CIF:
```
data_PuTlRhO6
_chemical_formula_sum 'Pu2 Tl2 Rh2 O12'
_cell_length_a 5.3006
_cell_length_b 5.3006
_cell_length_c 10.1054
_cell_angle_alpha 90.00
_cell_angle_beta 90.00
_cell_angle_gamma 120.00
_space_group_name_H-M_alt 'P -3 1 c'
_space_group_IT_number 163
_space_group_name_Hall '-P 3 2c'
loop_
_atom_site_label
_atom_site_type_symbol
_atom_site_fract_x
_atom_site_fract_y
_atom_site_fract_z
_atom_site_occupancy
Pu1 Pu 0.3333 0.6667 0.2500 1
Tl1 Tl 0.0000 0.0000 0.0000 1
Rh1 Rh 0.3333 0.6667 0.7500 1
O1 O 0.0078 0.3578 0.6359 1
```

***

| no. | total magnetic moment (μB per formula unit) |
| --- | --- |
| 1 | 2.00 |
| 2 | 3.14 |
| 3 | 2.00 |